Material: YBeB
Method: DFT, PBE
State: optimized geometry

The structure in POSCAR format:
```
YBeB
1.0
3.6964 0.0000 0.0000
0.0000 4.0164 0.0000
0.0000 0.0000 12.7733
Y Be B
4 4 4
Direct
0.0000 0.0000 0.1565 Y
0.0000 0.0000 0.8435 Y
0.5000 0.5000 0.3435 Y
0.5000 0.5000 0.6565 Y
0.0000 0.2353 0.5000 Be
0.0000 0.7647 0.5000 Be
0.5000 0.2647 0.0000 Be
0.5000 0.7353 0.0000 Be
0.0000 0.0000 0.3695 B
0.0000 0.0000 0.6305 B
0.5000 0.5000 0.1305 B
0.5000 0.5000 0.8695 B
```

Values from the calculation:
Density of states at the Fermi level (states/eV/atom): 0.8159
M_tot (μB per formula unit): 0.0
Distance to the lowest polymorph of the same formula (eV per formula unit): 1.038
DFT formation energy (kcal/mol of atoms): 1.32

Material: RbZnCu2Cl6
Method: DFT, PBE
State: optimized geometry

The structure in POSCAR format:
```
RbZnCu2Cl6
1.0
7.0707 -5.9507 0.0000
7.0707 5.9507 0.0000
-3.8850 0.0000 7.0676
Rb Zn Cu Cl
2 2 4 12
Direct
0.1854 0.8146 0.7500 Rb
0.8146 0.1854 0.2500 Rb
0.1797 0.8203 0.2500 Zn
0.8203 0.1797 0.7500 Zn
0.2455 0.3533 0.8553 Cu
0.3533 0.2455 0.3553 Cu
0.6467 0.7545 0.6447 Cu
0.7545 0.6467 0.1447 Cu
0.0462 0.1737 0.6832 Cl
0.1535 0.6123 0.9814 Cl
0.1737 0.0462 0.1832 Cl
0.2836 0.3942 0.6105 Cl
0.3877 0.8465 0.5186 Cl
0.3942 0.2836 0.1105 Cl
0.6058 0.7164 0.8895 Cl
0.6123 0.1535 0.4814 Cl
0.7164 0.6058 0.3895 Cl
0.8263 0.9538 0.8168 Cl
0.8465 0.3877 0.0186 Cl
0.9538 0.8263 0.3168 Cl
```

Values from the calculation:
Density of states at the Fermi level (states/eV/atom): 0.5577
M_tot (μB per formula unit): 1.0
Energy relative to the elements, uncorrected (eV/atom): -0.97

Material: KZn3In
Method: DFT, PBE
State: optimized geometry

The structure in POSCAR format:
```
KZn3In
1.0
5.3561 0.0000 0.0000
0.0000 5.3561 0.0000
0.0000 0.0000 5.3561
K Zn In
1 3 1
Direct
0.0000 0.0000 0.0000 K
0.0000 0.5000 0.5000 Zn
0.5000 0.0000 0.5000 Zn
0.5000 0.5000 0.0000 Zn
0.5000 0.5000 0.5000 In
```

Values from the calculation:
Density of states at the Fermi level (states/eV/atom): 0.5087
M_tot (μB per formula unit): 0.0
Distance to the lowest polymorph of the same formula (eV per formula unit): 0.000
DFT formation energy (kcal/mol of atoms): 5.88

Material: ScMnRe2
Method: DFT, PBE
State: optimized geometry

The structure in POSCAR format:
```
ScMnRe2
1.0
3.0554 0.0000 0.0000
0.0000 4.4177 0.0000
0.0000 0.0000 8.8808
Sc Mn Re
2 2 4
Direct
0.0000 0.0000 0.0000 Sc
0.5000 0.5000 0.5000 Sc
0.0000 0.0000 0.5000 Mn
0.5000 0.5000 0.0000 Mn
0.0000 0.5000 0.2372 Re
0.0000 0.5000 0.7628 Re
0.5000 0.0000 0.2628 Re
0.5000 0.0000 0.7372 Re
```

Values from the calculation:
Density of states at the Fermi level (states/eV/atom): 0.7718
M_tot (μB per formula unit): 0.0
Distance to the lowest polymorph of the same formula (eV per formula unit): 0.252
DFT formation energy (kcal/mol of atoms): 0.23

Material: TbSm2Dy4Mg
Method: DFT, PBE
State: optimized geometry

The structure in POSCAR format:
```
TbSm2Dy4Mg
1.0
4.9608 0.0000 0.0000
0.0000 4.9737 0.0000
0.0000 0.0000 10.1024
Tb Sm Dy Mg
1 2 4 1
Direct
0.0000 0.0000 0.0000 Tb
0.0000 0.0000 0.5000 Sm
0.5000 0.5000 0.0000 Sm
0.0000 0.5000 0.2515 Dy
0.0000 0.5000 0.7485 Dy
0.5000 0.0000 0.2515 Dy
0.5000 0.0000 0.7485 Dy
0.5000 0.5000 0.5000 Mg
```

Values from the calculation:
Density of states at the Fermi level (states/eV/atom): 1.4784
M_tot (μB per formula unit): 0.0
DFT formation energy (kcal/mol of atoms): 0.56

Material: Sc2Cu2Sb
Method: DFT, PBE
State: optimized geometry

The structure in POSCAR format:
```
Sc2Cu2Sb
1.0
4.4729 0.0000 0.0000
0.0000 4.4729 0.0000
0.0000 0.0000 10.1754
Sc Cu Sb
4 4 2
Direct
0.0000 0.5000 0.2500 Sc
0.0000 0.5000 0.7500 Sc
0.5000 0.0000 0.2500 Sc
0.5000 0.0000 0.7500 Sc
0.0000 0.0000 0.1116 Cu
0.0000 0.0000 0.8884 Cu
0.5000 0.5000 0.3884 Cu
0.5000 0.5000 0.6116 Cu
0.0000 0.0000 0.5000 Sb
0.5000 0.5000 0.0000 Sb
```

Values from the calculation:
Density of states at the Fermi level (states/eV/atom): 0.7774
M_tot (μB per formula unit): 0.0
Energy relative to the elements, uncorrected (eV/atom): -0.11
Distance to the lowest polymorph of the same formula (eV per formula unit): 1.849

Material: ZnCdSnS4
Method: DFT, PBE
State: optimized geometry

The structure in POSCAR format:
```
ZnCdSnS4
1.0
5.6687 0.0000 0.0000
0.0000 5.6687 0.0000
0.0000 0.0000 10.8474
Zn Cd Sn S
2 2 2 8
Direct
0.0000 0.0000 0.0000 Zn
0.5000 0.5000 0.5000 Zn
0.0000 0.5000 0.2500 Cd
0.5000 0.0000 0.7500 Cd
0.0000 0.5000 0.7500 Sn
0.5000 0.0000 0.2500 Sn
0.2361 0.2575 0.6117 S
0.2425 0.7361 0.8883 S
0.2575 0.7639 0.3883 S
0.2639 0.2425 0.1117 S
0.7361 0.7575 0.1117 S
0.7425 0.2361 0.3883 S
0.7575 0.2639 0.8883 S
0.7639 0.7425 0.6117 S
```

Values from the calculation:
Density of states at the Fermi level (states/eV/atom): 0.0000
M_tot (μB per formula unit): 0.0
Energy relative to the elements, uncorrected (eV/atom): -0.54

Material: Ag2SnTe2
Method: DFT, PBE
State: optimized geometry

The structure in POSCAR format:
```
Ag2SnTe2
1.0
4.3757 0.0000 0.0000
0.0017 4.6047 0.0000
2.1176 0.0033 7.1059
Ag Sn Te
2 1 2
Direct
0.0000 0.0000 0.0000 Ag
0.4818 0.4975 0.0464 Ag
0.7264 0.0014 0.5956 Sn
0.0820 0.5011 0.7466 Te
0.3420 0.9978 0.2744 Te
```

Values from the calculation:
M_tot (μB per formula unit): 0.0
Energy relative to the elements, uncorrected (eV/atom): -0.09
Distance to the lowest polymorph of the same formula (eV per formula unit): 0.020

Material: Ga3TeRh
Method: DFT, PBE
State: optimized geometry

The structure in POSCAR format:
```
Ga3TeRh
1.0
4.8601 0.0000 0.0000
0.0000 4.8601 0.0000
0.0000 0.0000 4.8601
Ga Te Rh
3 1 1
Direct
0.0000 0.0000 0.5000 Ga
0.0000 0.5000 0.0000 Ga
0.5000 0.0000 0.0000 Ga
0.5000 0.5000 0.5000 Te
0.0000 0.0000 0.0000 Rh
```

Values from the calculation:
Density of states at the Fermi level (states/eV/atom): 0.3955
M_tot (μB per formula unit): 0.0
Energy relative to the elements, uncorrected (eV/atom): -0.22
Distance to the lowest polymorph of the same formula (eV per formula unit): 0.000

Material: Rb2HoSbS4
Method: DFT, PBE
State: optimized geometry

The structure in POSCAR format:
```
Rb2HoSbS4
1.0
-4.2281 4.3084 6.0358
4.2281 -4.3084 6.0358
4.2281 4.3084 -6.0358
Rb Ho Sb S
4 2 2 8
Direct
0.0000 0.0000 0.0000 Rb
0.5000 0.0000 0.0000 Rb
0.5000 0.0000 0.5000 Rb
0.5000 0.5000 0.5000 Rb
0.0000 0.0000 0.5000 Ho
0.0000 0.5000 0.0000 Ho
0.0000 0.5000 0.5000 Sb
0.5000 0.5000 0.0000 Sb
0.1943 0.7331 0.4612 S
0.2281 0.2669 0.9612 S
0.2297 0.2620 0.5323 S
0.2297 0.6974 0.9677 S
0.7703 0.3026 0.0323 S
0.7703 0.7380 0.4677 S
0.7719 0.7331 0.0388 S
0.8057 0.2669 0.5388 S
```

Values from the calculation:
M_tot (μB per formula unit): 0.0
Energy relative to the elements, uncorrected (eV/atom): -1.21

Material: SrLiAg3Hg
Method: DFT, PBE
State: optimized geometry

The structure in POSCAR format:
```
SrLiAg3Hg
1.0
3.1449 -6.8727 0.0000
3.1449 6.8727 0.0000
0.0000 0.0000 6.3111
Sr Li Ag Hg
2 2 6 2
Direct
0.2010 0.7990 0.7500 Sr
0.7990 0.2010 0.2500 Sr
0.4245 0.5755 0.7500 Li
0.5755 0.4245 0.2500 Li
0.2235 0.2235 0.0000 Ag
0.2235 0.2235 0.5000 Ag
0.3690 0.6310 0.2500 Ag
0.6310 0.3690 0.7500 Ag
0.7765 0.7765 0.0000 Ag
0.7765 0.7765 0.5000 Ag
0.1561 0.8439 0.2500 Hg
0.8439 0.1561 0.7500 Hg
```

Values from the calculation:
Density of states at the Fermi level (states/eV/atom): 0.4183
M_tot (μB per formula unit): 0.0
DFT formation energy (kcal/mol of atoms): -4.08

Material: LaPm5In3
Method: DFT, PBE
State: optimized geometry

The structure in POSCAR format:
```
LaPm5In3
1.0
9.6133 0.0000 0.0000
-4.8066 8.3254 0.0000
0.0000 0.0000 6.9211
La Pm In
2 10 6
Direct
0.0000 0.0000 0.0000 La
0.0000 0.0000 0.5000 La
0.0000 0.3308 0.2500 Pm
0.0000 0.6692 0.7500 Pm
0.3308 0.0000 0.2500 Pm
0.3308 0.3308 0.7500 Pm
0.3333 0.6667 0.0000 Pm
0.3333 0.6667 0.5000 Pm
0.6667 0.3333 0.0000 Pm
0.6667 0.3333 0.5000 Pm
0.6692 0.0000 0.7500 Pm
0.6692 0.6692 0.2500 Pm
0.0000 0.3383 0.7500 In
0.0000 0.6617 0.2500 In
0.3383 0.0000 0.7500 In
0.3383 0.3383 0.2500 In
0.6617 0.0000 0.2500 In
0.6617 0.6617 0.7500 In
```

Values from the calculation:
Density of states at the Fermi level (states/eV/atom): 1.4584
M_tot (μB per formula unit): 1.6
DFT formation energy (kcal/mol of atoms): -8.01

no.,DFT total energy (eV per atom)
1,-5.57
2,-3.12
3,-1.28
4,-10.09
5,-4.23
6,-5.10
7,-3.79
8,-3.29
9,-4.14
10,-4.60
11,-2.25
12,-4.45